(1)
# ZnCo2W, optimized geometry, DFT PBE
data_ZnCo2W
_cell_length_a 3.8068
_cell_length_b 3.8068
_cell_length_c 6.8528
_cell_angle_alpha 90.00
_cell_angle_beta 90.00
_cell_angle_gamma 90.00
_symmetry_space_group_name_H-M 'I 4/m m m'
_symmetry_Int_Tables_number 139
_symmetry_space_group_name_Hall '-I 4 2'
loop_
_atom_site_label
_atom_site_type_symbol
_atom_site_fract_x
_atom_site_fract_y
_atom_site_fract_z
_atom_site_occupancy
Zn1 Zn 0.0000 0.0000 0.0000 1
Co1 Co 0.0000 0.5000 0.2500 1
W1 W 0.0000 0.0000 0.5000 1
# calculated volume	99.3	Å³/cell
# energy relative to the elements	0.02	eV/atom
# final energy	-7.09	eV/atom

(2)
# LiCaBr3, optimized geometry, DFT PBE
data_LiCaBr3
_cell_length_a 7.0794
_cell_length_b 12.7904
_cell_length_c 6.9950
_cell_angle_alpha 90.00
_cell_angle_beta 109.80
_cell_angle_gamma 90.00
_symmetry_space_group_name_H-M 'C 1 2/m 1'
_symmetry_Int_Tables_number 12
_symmetry_space_group_name_Hall '-C 2y'
loop_
_atom_site_label
_atom_site_type_symbol
_atom_site_fract_x
_atom_site_fract_y
_atom_site_fract_z
_atom_site_occupancy
Li1 Li 0.0000 0.1652 0.0000 1
Ca1 Ca 0.0000 0.3416 0.5000 1
Br1 Br 0.2398 0.0000 0.2464 1
Br2 Br 0.2422 0.3140 0.2388 1
# calculated volume	595.9	Å³/cell
# E above lowest polymorph	0.0276	eV/atom
# final energy	-3.59	eV/atom

(3)
# YZr2Os, optimized geometry, DFT PBE
data_YZr2Os
_cell_length_a 5.8698
_cell_length_b 9.6435
_cell_length_c 3.1523
_cell_angle_alpha 90.00
_cell_angle_beta 111.11
_cell_angle_gamma 90.00
_symmetry_space_group_name_H-M 'C 1 2/m 1'
_symmetry_Int_Tables_number 12
_symmetry_space_group_name_Hall '-C 2y'
loop_
_atom_site_label
_atom_site_type_symbol
_atom_site_fract_x
_atom_site_fract_y
_atom_site_fract_z
_atom_site_occupancy
Y1 Y 0.0000 0.0000 0.0000 1
Zr1 Zr 0.2500 0.2500 0.5000 1
Os1 Os 0.0000 0.5000 0.0000 1
# calculated volume	166.5	Å³/cell
# energy relative to the elements	0.16	eV/atom
# E above lowest polymorph	0.3804	eV/atom
# final energy	-8.54	eV/atom

(4)
# CsNbGe3, optimized geometry, DFT PBE
data_CsNbGe3
_cell_length_a 5.3773
_cell_length_b 5.3773
_cell_length_c 5.3773
_cell_angle_alpha 90.00
_cell_angle_beta 90.00
_cell_angle_gamma 90.00
_symmetry_space_group_name_H-M 'P m -3 m'
_symmetry_Int_Tables_number 221
_symmetry_space_group_name_Hall '-P 4 2 3'
loop_
_atom_site_label
_atom_site_type_symbol
_atom_site_fract_x
_atom_site_fract_y
_atom_site_fract_z
_atom_site_occupancy
Cs1 Cs 0.0000 0.0000 0.0000 1
Nb1 Nb 0.5000 0.5000 0.5000 1
Ge1 Ge 0.0000 0.0000 0.5000 1
# calculated volume	155.5	Å³/cell
# energy relative to the elements	2.47	eV/atom
# E above lowest polymorph	2.3628	eV/atom
# final energy	-2.48	eV/atom

(5)
# LiLaAl, optimized geometry, DFT PBE
data_LiLaAl
_cell_length_a 7.1545
_cell_length_b 7.1545
_cell_length_c 7.1545
_cell_angle_alpha 90.00
_cell_angle_beta 90.00
_cell_angle_gamma 90.00
_symmetry_space_group_name_H-M 'F -4 3 m'
_symmetry_Int_Tables_number 216
_symmetry_space_group_name_Hall 'F -4 2 3'
loop_
_atom_site_label
_atom_site_type_symbol
_atom_site_fract_x
_atom_site_fract_y
_atom_site_fract_z
_atom_site_occupancy
Li1 Li 0.0000 0.0000 0.0000 1
La1 La 0.2500 0.2500 0.7500 1
Al1 Al 0.0000 0.0000 0.5000 1
# calculated volume	366.2	Å³/cell
# energy relative to the elements	0.41	eV/atom
# E above lowest polymorph	0.6467	eV/atom
# final energy	-3.12	eV/atom

(6)
# Nb2CrAuN, optimized geometry, DFT PBE
data_Nb2CrAuN
_cell_length_a 4.3140
_cell_length_b 4.3140
_cell_length_c 3.8754
_cell_angle_alpha 90.00
_cell_angle_beta 90.00
_cell_angle_gamma 90.00
_symmetry_space_group_name_H-M 'P 4/m m m'
_symmetry_Int_Tables_number 123
_symmetry_space_group_name_Hall '-P 4 2'
loop_
_atom_site_label
_atom_site_type_symbol
_atom_site_fract_x
_atom_site_fract_y
_atom_site_fract_z
_atom_site_occupancy
Nb1 Nb 0.0000 0.5000 0.0000 1
Cr1 Cr 0.0000 0.0000 0.5000 1
Au1 Au 0.5000 0.5000 0.5000 1
N1 N 0.0000 0.0000 0.0000 1
# calculated volume	72.1	Å³/cell
# final energy	-8.68	eV/atom